(1)
This record from the Alexandria database describes a geometry-optimized Nd4TePd structure. The functional is GGA-PBE.

Cell lengths 6.976, 6.744, 8.047 Å; angles 90.00, 91.90, 90.00 degrees
Atoms (fractional coordinates):
Nd (0.081, 0.250, 0.067)
Nd (0.112, 0.750, 0.371)
Nd (0.397, 0.502, 0.769)
Nd (0.397, 0.998, 0.769)
Nd (0.603, 0.002, 0.231)
Nd (0.603, 0.498, 0.231)
Nd (0.888, 0.250, 0.629)
Nd (0.919, 0.750, 0.933)
Te (0.274, 0.250, 0.433)
Te (0.726, 0.750, 0.567)
Pd (0.317, 0.750, 0.059)
Pd (0.683, 0.250, 0.941)

Values from the calculation:
energy	-62.60	eV for the cell shown
formation energy without anion corrections	-0.6492	eV per atom
total moment	0.0001	μB per atom
SG	P2_1/m
N(E_F)	8.96	states/eV/f.u.

(2)
This record from the Alexandria database describes a geometry-optimized BaLaTe structure. The functional is GGA-PBE.

Cell lengths 4.464, 4.464, 7.772 Å; angles 90.00, 90.00, 120.00 degrees
Atoms (fractional coordinates):
Ba (0.000, 0.000, 0.000)
La (0.667, 0.333, 0.455)
Te (0.333, 0.667, 0.699)

Values from the calculation:
ΔE to the lowest computed polymorph	0.29	eV per formula unit
energy	-12.69	eV for the cell shown
formation energy without anion corrections	-0.9001	eV per atom
total moment	0.3183	μB per atom
SG	P3m1
N(E_F)	1.87	states/eV/f.u.

(3)
This record from the Alexandria database describes a geometry-optimized AcCePuBi structure. The functional is GGA-PBE.

Cell lengths 5.635, 5.635, 5.635 Å; angles 60.00, 60.00, 60.00 degrees
Atoms (fractional coordinates):
Ac (0.000, 0.000, 0.000)
Ce (0.750, 0.750, 0.750)
Pu (0.250, 0.250, 0.250)
Bi (0.500, 0.500, 0.500)

Values from the calculation:
energy	-28.37	eV for the cell shown
calculated formation energy	-0.03	eV per atom
total moment	2.1016	μB per atom
SG	F-43m
N(E_F)	14.11	states/eV/f.u.

(4)
This record from the Alexandria database describes a geometry-optimized CsZn2AuF8 structure. The functional is GGA-PBE.

Cell lengths 9.578, 9.578, 9.578 Å; angles 33.93, 33.93, 33.93 degrees
Atoms (fractional coordinates):
Cs (0.000, 0.000, 0.000)
Zn (0.246, 0.246, 0.246)
Zn (0.754, 0.754, 0.754)
Au (0.500, 0.500, 0.500)
F (0.132, 0.505, 0.705)
F (0.295, 0.495, 0.868)
F (0.315, 0.315, 0.315)
F (0.495, 0.868, 0.295)
F (0.505, 0.705, 0.132)
F (0.685, 0.685, 0.685)
F (0.705, 0.132, 0.505)
F (0.868, 0.295, 0.495)

Values from the calculation:
energy	-43.35	eV for the cell shown
formation energy without anion corrections	-1.8084	eV per atom
total moment	0.1665	μB per atom
SG	R32

(5)
This record from the Alexandria database describes a geometry-optimized MgCo2RhN structure. The functional is GGA-PBE.

Cell lengths 3.772, 3.772, 4.146 Å; angles 90.00, 90.00, 90.00 degrees
Atoms (fractional coordinates):
Mg (0.000, 0.000, 0.000)
Co (0.000, 0.500, 0.500)
Co (0.500, 0.000, 0.500)
Rh (0.500, 0.500, 0.000)
N (0.500, 0.500, 0.500)

Values from the calculation:
ΔE to the lowest computed polymorph	0.00	eV per formula unit
energy	-32.18	eV for the cell shown
formation energy without anion corrections	-0.1388	eV per atom
total moment	0.4060	μB per atom
SG	P4/mmm
N(E_F)	5.41	states/eV/f.u.

(6)
This record from the Alexandria database describes a geometry-optimized BeF structure. The functional is GGA-PBE.

Cell lengths 4.671, 4.671, 4.279 Å; angles 113.66, 113.66, 31.65 degrees
Atoms (fractional coordinates):
Be (0.000, 0.000, 0.000)
Be (0.623, 0.623, 0.731)
F (0.087, 0.087, 0.437)
F (0.814, 0.814, 0.918)

Values from the calculation:
ΔE to the lowest computed polymorph	0.07	eV per formula unit
energy	-19.08	eV for the cell shown
formation energy without anion corrections	-1.9700	eV per atom
total moment	0.0000	μB per atom
SG	Cm

(7)
This record from the Alexandria database describes a geometry-optimized Sr2LaSb structure. The functional is GGA-PBE.

Cell lengths 8.099, 8.099, 8.099 Å; angles 99.61, 99.61, 131.77 degrees
Atoms (fractional coordinates):
Sr (0.042, 0.625, 0.917)
Sr (0.375, 0.292, 0.417)
Sr (0.708, 0.125, 0.083)
Sr (0.875, 0.958, 0.583)
La (0.250, 0.750, 0.500)
La (0.500, 0.500, 0.000)
Sb (0.000, 0.000, 0.000)
Sb (0.750, 0.250, 0.500)

Values from the calculation:
energy	-26.78	eV for the cell shown
formation energy without anion corrections	-0.2441	eV per atom
total moment	0.0000	μB per atom
SG	I-42d
N(E_F)	4.91	states/eV/f.u.

(8)
This record from the Alexandria database describes a geometry-optimized CaCuSi2 structure. The functional is GGA-PBE.

Cell lengths 4.035, 4.035, 4.171 Å; angles 90.00, 90.00, 90.00 degrees
Atoms (fractional coordinates):
Ca (0.000, 0.000, 0.000)
Cu (0.500, 0.500, 0.000)
Si (0.000, 0.500, 0.500)
Si (0.500, 0.000, 0.500)

Values from the calculation:
energy	-16.84	eV for the cell shown
formation energy without anion corrections	0.0270	eV per atom
total moment	0.0000	μB per atom
SG	P4/mmm
N(E_F)	2.08	states/eV/f.u.

(9)
This record from the Alexandria database describes a geometry-optimized Mg2Ge2O5 structure. The functional is GGA-PBE.

Cell lengths 3.882, 3.882, 6.293 Å; angles 90.00, 90.00, 90.00 degrees
Atoms (fractional coordinates):
Mg (0.000, 0.000, 0.000)
Mg (0.000, 0.000, 0.500)
Ge (0.500, 0.500, 0.205)
Ge (0.500, 0.500, 0.795)
O (0.000, 0.500, 0.222)
O (0.000, 0.500, 0.778)
O (0.500, 0.000, 0.222)
O (0.500, 0.000, 0.778)
O (0.500, 0.500, 0.500)

Values from the calculation:
energy	-50.92	eV for the cell shown
formation energy without anion corrections	-1.5224	eV per atom
total moment	0.0000	μB per atom
SG	P4/mmm
N(E_F)	0.58	states/eV/f.u.

(10)
This record from the Alexandria database describes a geometry-optimized Na3SiS structure. The functional is GGA-PBE.

Cell lengths 5.324, 5.324, 5.324 Å; angles 90.00, 90.00, 90.00 degrees
Atoms (fractional coordinates):
Na (0.000, 0.000, 0.500)
Na (0.000, 0.500, 0.000)
Na (0.500, 0.000, 0.000)
Si (0.500, 0.500, 0.500)
S (0.000, 0.000, 0.000)

Values from the calculation:
ΔE to the lowest computed polymorph	0.00	eV per formula unit
energy	-13.97	eV for the cell shown
formation energy without anion corrections	-0.0917	eV per atom
total moment	0.6000	μB per atom
SG	Pm-3m
N(E_F)	0.12	states/eV/f.u.

(11)
This record from the Alexandria database describes a geometry-optimized BaRuW2 structure. The functional is GGA-PBE.

Cell lengths 4.913, 4.913, 3.107 Å; angles 90.00, 90.00, 90.00 degrees
Atoms (fractional coordinates):
Ba (0.000, 0.000, 0.000)
Ru (0.500, 0.500, 0.000)
W (0.000, 0.500, 0.500)
W (0.500, 0.000, 0.500)

Values from the calculation:
ΔE to the lowest computed polymorph	3.76	eV per formula unit
energy	-30.49	eV for the cell shown
calculated formation energy	1.65	eV per atom
total moment	0.0000	μB per atom
SG	P4/mmm
N(E_F)	3.83	states/eV/f.u.

(12)
This record from the Alexandria database describes a geometry-optimized Ac2GePt structure. The functional is GGA-PBE.

Cell lengths 9.322, 9.322, 9.322 Å; angles 29.33, 29.33, 29.33 degrees
Atoms (fractional coordinates):
Ac (0.103, 0.103, 0.103)
Ac (0.897, 0.897, 0.897)
Ge (0.500, 0.500, 0.500)
Pt (0.000, 0.000, 0.000)

Values from the calculation:
energy	-19.50	eV for the cell shown
calculated formation energy	-0.16	eV per atom
total moment	0.0000	μB per atom
SG	R-3m
N(E_F)	0.68	states/eV/f.u.

- The highest total moment belongs to which entry?
  AcCePuBi

- Which of these has the highest total moment?
  AcCePuBi